Here is a relaxed structure of CrBr2 from Alexandria. Energies are from PBE-GGA.

```
9
Lattice="-2.005 4.078 -5.604 -2.079 1.772 6.678 5.651 3.808 0.749" Properties=species:S:1:pos:R:3 pbc="T T T"
Br 1.503 3.798 0.722
Cr 2.826 1.904 0.375
Cr -2.055 2.541 2.584
Br -2.800 4.010 0.736
Br -0.654 0.557 2.100
Br -0.631 1.282 -1.762
Br 1.470 4.661 -3.415
Cr -2.030 3.309 -1.510
Br 1.420 3.103 4.890
```

Summary:
energy relative to the elements, uncorrected = -331 meV/atom
size of the total moment = 4.00 μB per formula unit